1.
# SeIBr2N (GGA-PBE, relaxed)
data_SeIBr2N
_cell_length_a 4.272
_cell_length_b 4.272
_cell_length_c 8.515
_cell_angle_alpha 90.00
_cell_angle_beta 90.00
_cell_angle_gamma 90.00
_symmetry_space_group_name_H-M 'P 4/m m m'
_symmetry_Int_Tables_number 123
_symmetry_space_group_name_Hall '-P 4 2'
loop_
_atom_site_label
_atom_site_type_symbol
_atom_site_fract_x
_atom_site_fract_y
_atom_site_fract_z
Se1 Se 0.000 0.000 0.000
I1 I 0.500 0.500 0.000
Br1 Br 0.000 0.500 0.500
N1 N 0.000 0.000 0.500
# * formation energy without anion corrections: 1019 meV per atom
# * DOS at the Fermi energy: 0.73 states/eV per atom
# * offset from the most stable computed form: 0.00 eV/f.u.
# * total moment: 0.8 μB per formula unit

---

2.
# Tl2HgHPd (GGA-PBE, relaxed)
data_Tl2HgHPd
_cell_length_a 5.648
_cell_length_b 5.648
_cell_length_c 3.477
_cell_angle_alpha 90.00
_cell_angle_beta 90.00
_cell_angle_gamma 90.00
_symmetry_space_group_name_H-M 'P 4/m m m'
_symmetry_Int_Tables_number 123
_symmetry_space_group_name_Hall '-P 4 2'
loop_
_atom_site_label
_atom_site_type_symbol
_atom_site_fract_x
_atom_site_fract_y
_atom_site_fract_z
Tl1 Tl 0.000 0.500 0.000
Hg1 Hg 0.000 0.000 0.500
H1 H 0.500 0.500 0.500
Pd1 Pd 0.500 0.500 0.000
# * DOS at the Fermi energy: 0.25 states/eV per atom
# * offset from the most stable computed form: 0.00 eV/f.u.
# * total moment: 0.0 μB per formula unit

---

3.
# RbCr2In (GGA-PBE, relaxed)
data_RbCr2In
_cell_length_a 5.722
_cell_length_b 5.722
_cell_length_c 18.997
_cell_angle_alpha 90.00
_cell_angle_beta 90.00
_cell_angle_gamma 90.00
_symmetry_space_group_name_H-M 'I 41/a m d'
_symmetry_Int_Tables_number 141
loop_
_symmetry_equiv_pos_as_xyz
'x,y,z'
'-x,-y,-z'
'-y+1/4,x+3/4,z+1/4'
'y+1/4,-x+3/4,-z+1/4'
'-x+1/2,-y,z+1/2'
'x+1/2,y,-z+1/2'
'y+1/4,-x+1/4,z+3/4'
'-y+1/4,x+1/4,-z+3/4'
'x,-y,-z'
'-x,y,z'
'-y+1/4,-x+1/4,-z+3/4'
'y+1/4,x+1/4,z+3/4'
'-x+1/2,y,-z+1/2'
'x+1/2,-y,z+1/2'
'y+1/4,x+3/4,-z+1/4'
'-y+1/4,-x+3/4,z+1/4'
'x+1/2,y+1/2,z+1/2'
'-x+1/2,-y+1/2,-z+1/2'
'-y+3/4,x+1/4,z+3/4'
'y+3/4,-x+1/4,-z+3/4'
'-x,-y+1/2,z'
'x,y+1/2,-z'
'y+3/4,-x+3/4,z+1/4'
'-y+3/4,x+3/4,-z+1/4'
'x+1/2,-y+1/2,-z+1/2'
'-x+1/2,y+1/2,z+1/2'
'-y+3/4,-x+3/4,-z+1/4'
'y+3/4,x+3/4,z+1/4'
'-x,y+1/2,-z'
'x,-y+1/2,z'
'y+3/4,x+1/4,-z+3/4'
'-y+3/4,-x+1/4,z+3/4'
loop_
_atom_site_label
_atom_site_type_symbol
_atom_site_fract_x
_atom_site_fract_y
_atom_site_fract_z
Rb1 Rb 0.000 0.250 0.375
Cr1 Cr 0.000 0.000 0.000
In1 In 0.000 0.250 0.875
# * DOS at the Fermi energy: 0.60 states/eV per atom
# * formation energy from the elements: 1.039 eV per atom
# * total moment: 8.8 μB per formula unit

---

- Which of these has the highest total moment?
  RbCr2In

---

- The lowest DOS at the Fermi energy belongs to which entry?
  Tl2HgHPd